Entry i
## PaGaHg (PBE)

Data for crystalline PaGaHg at its relaxed geometry.

```
PaGaHg
1.0
-3.504 -3.425 0.148
-3.436 0.158 3.493
-4.619 1.167 -1.156
Pa Ga Hg
1 1 1
direct
0.500 0.500 0.500 Pa
0.750 0.750 0.750 Ga
0.250 0.250 0.250 Hg
```

V: 27.769 Å³/atom
space group: F-43m, No. 216

Entry ii
## PaGaHg (PBE)

Data for crystalline PaGaHg at its relaxed geometry.

```
PaGaHg
1.0
-3.568 -1.866 3.577
2.891 -3.442 -2.967
2.154 -0.030 2.134
Hg Ga Pa
1 1 1
direct
0.333 0.667 0.000 Hg
0.000 0.000 0.000 Ga
0.667 0.333 0.000 Pa
```

V: 25.387 Å³/atom
space group: P-6m2, No. 187

On energetic grounds, entry i is preferred over the next structure by 0.046 eV/atom.

Entry i
## PuGaHg (PBE)

Data for crystalline PuGaHg at its relaxed geometry.

```
PuGaHg
1.0
0.000 3.483 3.483
3.483 0.000 3.483
3.483 3.483 0.000
Ga Pu Hg
1 1 1
direct
0.250 0.250 0.250 Ga
0.000 0.000 0.000 Pu
0.750 0.750 0.750 Hg
```

V: 28.176 Å³/atom
space group: F-43m, No. 216

Entry ii
## PuGaHg (PBE)

Data for crystalline PuGaHg at its relaxed geometry.

```
PuGaHg
1.0
0.000 3.369 3.369
3.369 0.000 3.369
3.369 3.369 0.000
Hg Pu Ga
1 1 1
direct
0.250 0.250 0.250 Hg
0.750 0.750 0.750 Pu
0.000 0.000 0.000 Ga
```

V: 25.493 Å³/atom
space group: F-43m, No. 216

On energetic grounds, entry ii is preferred over the next structure by 0.262 eV/atom.

Entry i
## RbGaHg (PBE)

Data for crystalline RbGaHg at its relaxed geometry.

```
RbGaHg
1.0
2.316 -4.924 -0.599
3.618 -1.791 3.698
-1.342 -4.086 3.386
Hg Ga Rb
1 1 1
direct
0.000 0.000 0.000 Hg
0.250 0.250 0.250 Ga
0.750 0.750 0.750 Rb
```

V: 38.664 Å³/atom
space group: F-43m, No. 216

Entry ii
## RbGaHg (PBE)

Data for crystalline RbGaHg at its relaxed geometry.

```
RbGaHg
1.0
0.000 3.830 3.830
3.830 0.000 3.830
3.830 3.830 0.000
Ga Rb Hg
1 1 1
direct
0.000 0.000 0.000 Ga
0.750 0.750 0.750 Rb
0.250 0.250 0.250 Hg
```

V: 37.449 Å³/atom
space group: F-43m, No. 216

On energetic grounds, entry i is preferred over the next structure by 0.012 eV/atom.

Entry i
## GaReHg (PBE)

Data for crystalline GaReHg at its relaxed geometry.

```
GaReHg
1.0
0.000 3.037 3.037
3.037 0.000 3.037
3.037 3.037 0.000
Hg Re Ga
1 1 1
direct
0.250 0.250 0.250 Hg
0.750 0.750 0.750 Re
0.000 0.000 0.000 Ga
```

V: 18.670 Å³/atom
space group: F-43m, No. 216

Entry ii
## GaReHg (PBE)

Data for crystalline GaReHg at its relaxed geometry.

```
GaReHg
1.0
0.000 3.144 3.144
3.144 0.000 3.144
3.144 3.144 0.000
Hg Ga Re
1 1 1
direct
0.750 0.750 0.750 Hg
0.250 0.250 0.250 Ga
0.000 0.000 0.000 Re
```

V: 20.727 Å³/atom
space group: F-43m, No. 216

On energetic grounds, entry ii is preferred over the next structure by 0.029 eV/atom.

Entry i
## ScGaHg (PBE)

Data for crystalline ScGaHg at its relaxed geometry.

```
ScGaHg
1.0
-0.732 -3.317 2.945
-0.492 -0.755 -4.404
6.682 -1.854 -0.428
Sc Hg Ga
2 2 2
direct
0.000 0.000 0.000 Sc
0.000 0.000 0.500 Sc
0.333 0.667 0.714 Hg
0.333 0.667 0.286 Hg
0.667 0.333 0.197 Ga
0.667 0.333 0.803 Ga
```

V: 20.269 Å³/atom
space group: P-6m2, No. 187

Entry ii
## ScGaHg (PBE)

Data for crystalline ScGaHg at its relaxed geometry.

```
ScGaHg
1.0
-1.237 0.465 4.325
-4.117 -1.319 1.329
-0.467 -3.654 2.624
Sc Ga Hg
1 1 1
direct
0.750 0.750 0.750 Sc
0.000 0.000 0.000 Ga
0.250 0.250 0.250 Hg
```

V: 21.800 Å³/atom
space group: F-43m, No. 216

On energetic grounds, entry i is preferred over the next structure by 0.113 eV/atom.

Entry i
## UGaHg (PBE)

Data for crystalline UGaHg at its relaxed geometry.

```
UGaHg
1.0
0.000 3.469 3.469
3.469 0.000 3.469
3.469 3.469 0.000
U Ga Hg
1 1 1
direct
0.000 0.000 0.000 U
0.250 0.250 0.250 Ga
0.750 0.750 0.750 Hg
```

V: 27.824 Å³/atom
space group: F-43m, No. 216

Entry ii
## UGaHg (PBE)

Data for crystalline UGaHg at its relaxed geometry.

```
UGaHg
1.0
-1.898 -4.120 -1.401
-2.185 -2.800 3.150
-4.717 -0.512 -0.149
Hg Ga U
1 1 1
direct
0.250 0.250 0.250 Hg
0.000 0.000 0.000 Ga
0.750 0.750 0.750 U
```

V: 25.214 Å³/atom
space group: F-43m, No. 216

On energetic grounds, entry ii is preferred over the next structure by 0.217 eV/atom.

Entry i
## HoInGaNi (PBE)

Data for crystalline HoInGaNi at its relaxed geometry.

```
HoInGaNi
1.0
-5.154 1.599 1.185
-3.116 0.135 4.561
2.542 6.480 1.275
Ga Ho Ni In
2 2 2 2
direct
0.640 0.640 0.054 Ga
0.360 0.360 0.946 Ga
0.929 0.929 0.227 Ho
0.071 0.071 0.773 Ho
0.213 0.213 0.220 Ni
0.787 0.787 0.780 Ni
0.356 0.356 0.550 In
0.644 0.644 0.450 In
```

V: 19.000 Å³/atom
space group: C2/m, No. 12

Entry ii
## HoInGaNi (PBE)

Data for crystalline HoInGaNi at its relaxed geometry.

```
HoInGaNi
1.0
-1.224 2.432 6.508
4.141 3.667 -0.591
0.451 5.221 -1.866
In Ho Ga Ni
2 2 2 2
direct
0.296 0.641 0.641 In
0.704 0.641 0.641 In
0.000 0.062 0.062 Ho
0.500 0.928 0.928 Ho
0.194 0.352 0.352 Ga
0.806 0.352 0.352 Ga
0.000 0.797 0.797 Ni
0.500 0.226 0.226 Ni
```

V: 19.089 Å³/atom
space group: Amm2, No. 38

On energetic grounds, entry i is preferred over the next structure by 0.028 eV/atom.